(1)
# AlSi2TcSb | Alexandria | PBE | optimized geometry
data_AlSi2TcSb
_cell_length_a 4.668
_cell_length_b 4.668
_cell_length_c 4.707
_cell_angle_alpha 90.00
_cell_angle_beta 90.00
_cell_angle_gamma 90.00
_space_group_name_H-M_alt 'P 1'
_space_group_IT_number 1
loop_
_space_group_symop_operation_xyz
'x,y,z'
loop_
_atom_site_label
_atom_site_type_symbol
_atom_site_fract_x
_atom_site_fract_y
_atom_site_fract_z
_atom_site_occupancy
Al1 Al 0.000 0.000 0.000 1
Si1 Si 0.000 0.500 0.000 1
Si2 Si 0.500 0.000 0.000 1
Tc1 Tc 0.000 0.000 0.500 1
Sb1 Sb 0.500 0.500 0.500 1
# - excess energy over the best structure of this formula in the dataset (eV/atom) = 0.0000
# - E_form (uncorrected) (kcal/mol of atoms) = 24.49
# - magnetic moment (μB per cell) = 1.002



(2)
# SrLi3Tl | Alexandria | PBE | optimized geometry
data_SrLi3Tl
_cell_length_a 6.990
_cell_length_b 5.128
_cell_length_c 7.649
_cell_angle_alpha 90.00
_cell_angle_beta 106.60
_cell_angle_gamma 90.00
_space_group_name_H-M_alt 'P 1'
_space_group_IT_number 1
loop_
_space_group_symop_operation_xyz
'x,y,z'
loop_
_atom_site_label
_atom_site_type_symbol
_atom_site_fract_x
_atom_site_fract_y
_atom_site_fract_z
_atom_site_occupancy
Sr1 Sr 0.169 0.250 0.225 1
Sr2 Sr 0.831 0.750 0.775 1
Li1 Li 0.138 0.250 0.716 1
Li2 Li 0.386 0.750 0.947 1
Li3 Li 0.494 0.250 0.651 1
Li4 Li 0.506 0.750 0.349 1
Li5 Li 0.614 0.250 0.053 1
Li6 Li 0.862 0.750 0.284 1
Tl1 Tl 0.245 0.750 0.568 1
Tl2 Tl 0.755 0.250 0.432 1
# - calculated formation energy (eV per atom) = -0.147
# - excess energy over the best structure of this formula in the dataset (eV/atom) = 0.0000
# - magnetic moment (μB per cell) = 0.000



(3)
# Pm4SmTm2Mg | Alexandria | PBE | optimized geometry
data_Pm4SmTm2Mg
_cell_length_a 5.057
_cell_length_b 5.057
_cell_length_c 9.940
_cell_angle_alpha 90.00
_cell_angle_beta 90.00
_cell_angle_gamma 90.00
_space_group_name_H-M_alt 'P 1'
_space_group_IT_number 1
loop_
_space_group_symop_operation_xyz
'x,y,z'
loop_
_atom_site_label
_atom_site_type_symbol
_atom_site_fract_x
_atom_site_fract_y
_atom_site_fract_z
_atom_site_occupancy
Pm1 Pm 0.000 0.500 0.244 1
Pm2 Pm 0.000 0.500 0.756 1
Pm3 Pm 0.500 0.000 0.244 1
Pm4 Pm 0.500 0.000 0.756 1
Sm1 Sm 0.000 0.000 0.500 1
Tm1 Tm 0.000 0.000 0.000 1
Tm2 Tm 0.500 0.500 0.500 1
Mg1 Mg 0.500 0.500 0.000 1
# - calculated formation energy (eV per atom) = 0.007
# - magnetic moment (μB per cell) = 0.000



(4)
# Ce6GaAu | Alexandria | PBE | optimized geometry
data_Ce6GaAu
_cell_length_a 7.111
_cell_length_b 7.111
_cell_length_c 7.130
_cell_angle_alpha 118.50
_cell_angle_beta 118.50
_cell_angle_gamma 43.58
_space_group_name_H-M_alt 'P 1'
_space_group_IT_number 1
loop_
_space_group_symop_operation_xyz
'x,y,z'
loop_
_atom_site_label
_atom_site_type_symbol
_atom_site_fract_x
_atom_site_fract_y
_atom_site_fract_z
_atom_site_occupancy
Ce1 Ce 0.133 0.133 0.486 1
Ce2 Ce 0.257 0.257 0.098 1
Ce3 Ce 0.366 0.366 0.730 1
Ce4 Ce 0.634 0.634 0.270 1
Ce5 Ce 0.743 0.743 0.902 1
Ce6 Ce 0.867 0.867 0.514 1
Ga1 Ga 0.000 0.000 0.000 1
Au1 Au 0.500 0.500 0.500 1
# - calculated formation energy (eV per atom) = -0.140
# - magnetic moment (μB per cell) = 1.363



(5)
# KV2BiMo | Alexandria | PBE | optimized geometry
data_KV2BiMo
_cell_length_a 4.962
_cell_length_b 4.962
_cell_length_c 5.402
_cell_angle_alpha 90.00
_cell_angle_beta 90.00
_cell_angle_gamma 90.00
_space_group_name_H-M_alt 'P 1'
_space_group_IT_number 1
loop_
_space_group_symop_operation_xyz
'x,y,z'
loop_
_atom_site_label
_atom_site_type_symbol
_atom_site_fract_x
_atom_site_fract_y
_atom_site_fract_z
_atom_site_occupancy
K1 K 0.000 0.000 0.000 1
V1 V 0.000 0.500 0.500 1
V2 V 0.500 0.000 0.500 1
Bi1 Bi 0.500 0.500 0.000 1
Mo1 Mo 0.500 0.500 0.500 1
# - calculated formation energy (eV per atom) = 0.964
# - magnetic moment (μB per cell) = 4.592



(6)
# Cs2K4CdPb2 | Alexandria | PBE | optimized geometry
data_Cs2K4CdPb2
_cell_length_a 9.052
_cell_length_b 9.052
_cell_length_c 6.488
_cell_angle_alpha 101.97
_cell_angle_beta 101.97
_cell_angle_gamma 60.43
_space_group_name_H-M_alt 'P 1'
_space_group_IT_number 1
loop_
_space_group_symop_operation_xyz
'x,y,z'
loop_
_atom_site_label
_atom_site_type_symbol
_atom_site_fract_x
_atom_site_fract_y
_atom_site_fract_z
_atom_site_occupancy
Cs1 Cs 0.138 0.138 0.202 1
Cs2 Cs 0.862 0.862 0.798 1
K1 K 0.154 0.581 0.304 1
K2 K 0.419 0.846 0.696 1
K3 K 0.581 0.154 0.304 1
K4 K 0.846 0.419 0.696 1
Cd1 Cd 0.500 0.500 0.000 1
Pb1 Pb 0.317 0.317 0.768 1
Pb2 Pb 0.683 0.683 0.232 1
# - calculated formation energy (eV per atom) = -0.082
# - magnetic moment (μB per cell) = 0.263



(7)
# Ti2Cd2Ni | Alexandria | PBE | optimized geometry
data_Ti2Cd2Ni
_cell_length_a 6.803
_cell_length_b 6.803
_cell_length_c 3.958
_cell_angle_alpha 90.00
_cell_angle_beta 90.00
_cell_angle_gamma 90.00
_space_group_name_H-M_alt 'P 1'
_space_group_IT_number 1
loop_
_space_group_symop_operation_xyz
'x,y,z'
loop_
_atom_site_label
_atom_site_type_symbol
_atom_site_fract_x
_atom_site_fract_y
_atom_site_fract_z
_atom_site_occupancy
Ti1 Ti 0.162 0.338 0.000 1
Ti2 Ti 0.338 0.838 0.000 1
Ti3 Ti 0.662 0.162 0.000 1
Ti4 Ti 0.838 0.662 0.000 1
Cd1 Cd 0.144 0.644 0.500 1
Cd2 Cd 0.356 0.144 0.500 1
Cd3 Cd 0.644 0.856 0.500 1
Cd4 Cd 0.856 0.356 0.500 1
Ni1 Ni 0.000 0.000 0.500 1
Ni2 Ni 0.500 0.500 0.500 1
# - calculated formation energy (eV per atom) = 0.327
# - magnetic moment (μB per cell) = 0.000



(8)
# Dy2Y2Er2Tm | Alexandria | PBE | optimized geometry
data_Dy2Y2Er2Tm
_cell_length_a 8.729
_cell_length_b 8.729
_cell_length_c 8.729
_cell_angle_alpha 37.61
_cell_angle_beta 37.61
_cell_angle_gamma 37.61
_space_group_name_H-M_alt 'P 1'
_space_group_IT_number 1
loop_
_space_group_symop_operation_xyz
'x,y,z'
loop_
_atom_site_label
_atom_site_type_symbol
_atom_site_fract_x
_atom_site_fract_y
_atom_site_fract_z
_atom_site_occupancy
Dy1 Dy 0.213 0.213 0.213 1
Dy2 Dy 0.787 0.787 0.787 1
Y1 Y 0.359 0.359 0.359 1
Y2 Y 0.641 0.641 0.641 1
Er1 Er 0.071 0.071 0.071 1
Er2 Er 0.929 0.929 0.929 1
Tm1 Tm 0.500 0.500 0.500 1
# - calculated formation energy (eV per atom) = 0.137
# - magnetic moment (μB per cell) = 0.062



(9)
# Zr2Mo | Alexandria | PBE | optimized geometry
data_Zr2Mo
_cell_length_a 4.968
_cell_length_b 4.968
_cell_length_c 5.720
_cell_angle_alpha 90.00
_cell_angle_beta 90.00
_cell_angle_gamma 120.00
_space_group_name_H-M_alt 'P 1'
_space_group_IT_number 1
loop_
_space_group_symop_operation_xyz
'x,y,z'
loop_
_atom_site_label
_atom_site_type_symbol
_atom_site_fract_x
_atom_site_fract_y
_atom_site_fract_z
_atom_site_occupancy
Zr1 Zr 0.000 0.000 0.000 1
Zr2 Zr 0.000 0.000 0.500 1
Zr3 Zr 0.333 0.667 0.250 1
Zr4 Zr 0.667 0.333 0.750 1
Mo1 Mo 0.333 0.667 0.750 1
Mo2 Mo 0.667 0.333 0.250 1
# - calculated formation energy (eV per atom) = 0.195
# - excess energy over the best structure of this formula in the dataset (eV/atom) = 0.1965
# - magnetic moment (μB per cell) = 0.000



(10)
# Cs3NdS3 | Alexandria | PBE | optimized geometry
data_Cs3NdS3
_cell_length_a 8.770
_cell_length_b 15.072
_cell_length_c 11.301
_cell_angle_alpha 90.00
_cell_angle_beta 127.53
_cell_angle_gamma 90.00
_space_group_name_H-M_alt 'P 1'
_space_group_IT_number 1
loop_
_space_group_symop_operation_xyz
'x,y,z'
loop_
_atom_site_label
_atom_site_type_symbol
_atom_site_fract_x
_atom_site_fract_y
_atom_site_fract_z
_atom_site_occupancy
Cs1 Cs 0.116 0.124 0.475 1
Cs2 Cs 0.116 0.376 0.975 1
Cs3 Cs 0.167 0.114 0.881 1
Cs4 Cs 0.167 0.386 0.381 1
Cs5 Cs 0.323 0.668 0.536 1
Cs6 Cs 0.323 0.832 0.036 1
Cs7 Cs 0.677 0.168 0.964 1
Cs8 Cs 0.677 0.332 0.464 1
Cs9 Cs 0.833 0.614 0.619 1
Cs10 Cs 0.833 0.886 0.119 1
Cs11 Cs 0.884 0.624 0.025 1
Cs12 Cs 0.884 0.876 0.525 1
Nd1 Nd 0.450 0.070 0.337 1
Nd2 Nd 0.450 0.430 0.837 1
Nd3 Nd 0.550 0.570 0.163 1
Nd4 Nd 0.550 0.930 0.663 1
S1 S 0.183 0.197 0.199 1
S2 S 0.183 0.303 0.699 1
S3 S 0.327 0.592 0.860 1
S4 S 0.327 0.908 0.360 1
S5 S 0.357 0.543 0.272 1
S6 S 0.357 0.957 0.772 1
S7 S 0.643 0.043 0.228 1
S8 S 0.643 0.457 0.728 1
S9 S 0.673 0.092 0.640 1
S10 S 0.673 0.408 0.140 1
S11 S 0.817 0.697 0.301 1
S12 S 0.817 0.803 0.801 1
# - excess energy over the best structure of this formula in the dataset (eV/atom) = 0.0079
# - E_form (uncorrected) (kcal/mol of atoms) = -32.79
# - magnetic moment (μB per cell) = 0.000



(11)
# Tl12Bi7Pb | Alexandria | PBE | optimized geometry
data_Tl12Bi7Pb
_cell_length_a 9.586
_cell_length_b 9.586
_cell_length_c 9.586
_cell_angle_alpha 109.77
_cell_angle_beta 109.77
_cell_angle_gamma 109.77
_space_group_name_H-M_alt 'P 1'
_space_group_IT_number 1
loop_
_space_group_symop_operation_xyz
'x,y,z'
loop_
_atom_site_label
_atom_site_type_symbol
_atom_site_fract_x
_atom_site_fract_y
_atom_site_fract_z
_atom_site_occupancy
Tl1 Tl 0.025 0.332 0.871 1
Tl2 Tl 0.129 0.975 0.668 1
Tl3 Tl 0.182 0.454 0.643 1
Tl4 Tl 0.332 0.871 0.025 1
Tl5 Tl 0.357 0.818 0.546 1
Tl6 Tl 0.454 0.643 0.182 1
Tl7 Tl 0.546 0.357 0.818 1
Tl8 Tl 0.643 0.182 0.454 1
Tl9 Tl 0.668 0.129 0.975 1
Tl10 Tl 0.818 0.546 0.357 1
Tl11 Tl 0.871 0.025 0.332 1
Tl12 Tl 0.975 0.668 0.129 1
Bi1 Bi 0.000 0.000 0.000 1
Bi2 Bi 0.082 0.397 0.256 1
Bi3 Bi 0.256 0.082 0.397 1
Bi4 Bi 0.397 0.256 0.082 1
Bi5 Bi 0.603 0.744 0.918 1
Bi6 Bi 0.744 0.918 0.603 1
Bi7 Bi 0.918 0.603 0.744 1
Pb1 Pb 0.500 0.500 0.500 1
# - calculated formation energy (eV per atom) = 0.022
# - excess energy over the best structure of this formula in the dataset (eV/atom) = 0.0057
# - magnetic moment (μB per cell) = 0.000



(12)
# BaRe2Hg | Alexandria | PBE | optimized geometry
data_BaRe2Hg
_cell_length_a 2.898
_cell_length_b 5.251
_cell_length_c 6.327
_cell_angle_alpha 90.00
_cell_angle_beta 92.71
_cell_angle_gamma 90.00
_space_group_name_H-M_alt 'P 1'
_space_group_IT_number 1
loop_
_space_group_symop_operation_xyz
'x,y,z'
loop_
_atom_site_label
_atom_site_type_symbol
_atom_site_fract_x
_atom_site_fract_y
_atom_site_fract_z
_atom_site_occupancy
Ba1 Ba 0.000 0.000 0.000 1
Re1 Re 0.386 0.500 0.674 1
Re2 Re 0.614 0.500 0.326 1
Hg1 Hg 0.500 0.000 0.500 1
# - calculated formation energy (eV per atom) = 1.133
# - magnetic moment (μB per cell) = 0.000